(1)
A relaxed structure of Sr2HfTl. Source: the Alexandria database, functional PBE-GGA.

Calculated values
Size of the total moment in μB per formula unit: 1.057
DOS at the Fermi energy in states/eV/atom: 2.25
ρ in g cm⁻³: 6.9
Energy relative to the lowest polymorph listed for this composition in meV/atom: 0.0

Cell lengths 8.138, 8.138, 8.138 Å; angles 90.00, 90.00, 90.00 degrees
Space group Fm-3m (No. 225)
One atom of each set of equivalent atoms:
Sr 0.250 0.250 0.250
Hf 0.000 0.000 0.000
Tl 0.000 0.000 0.500


(2)
A relaxed structure of SrYHf2Tl. Source: the Alexandria database, functional PBE-GGA.

Calculated values
Size of the total moment in μB per formula unit: 0.000
Uncorrected energy in eV per atom: -4.6092
DOS at the Fermi energy in states/eV/atom: 1.07
ρ in g cm⁻³: 7.9

Cell lengths 5.188, 5.188, 5.775 Å; angles 90.00, 90.00, 90.00 degrees
Space group P4/mmm (No. 123)
One atom of each set of equivalent atoms:
Sr 0.000 0.000 0.000
Y 0.500 0.500 0.500
Hf 0.000 0.500 0.000
Tl 0.000 0.000 0.500


(3)
A relaxed structure of SrHf3V. Source: the Alexandria database, functional PBE-GGA.

Calculated values
Size of the total moment in μB per formula unit: 2.954
DOS at the Fermi energy in states/eV/atom: 1.62
ρ in g cm⁻³: 8.5
Energy relative to the lowest polymorph listed for this composition in meV/atom: 1624.4

Cell lengths 5.086, 5.086, 5.086 Å; angles 90.00, 90.00, 90.00 degrees
Space group Pm-3m (No. 221)
One atom of each set of equivalent atoms:
Sr 0.000 0.000 0.000
Hf 0.000 0.000 0.500
V 0.500 0.500 0.500


Question: What is the formula in the second record?
Answer: SrYHf2Tl